# 1
Crystalline Pm3TlBr3 at its relaxed geometry, computed with GGA-PBE.

Lattice parameters (Å, degrees): 6.103 6.103 6.103 90.00 90.00 90.00
Space group Pm-3m (No. 221)
Inequivalent atoms, fractional coordinates:
Pm1 0.000 0.000 0.500 x3
Tl1 0.000 0.000 0.000 x1
Br1 0.000 0.500 0.500 x3


# 2
Crystalline Ac2TiS5 at its relaxed geometry, computed with GGA-PBE.

Lattice parameters (Å, degrees): 5.361 14.350 13.051 90.00 90.00 90.00
Space group Cmcm (No. 63)
Inequivalent atoms, fractional coordinates:
Ac1 0.000 0.148 0.073 x8
Ti1 0.000 0.169 0.750 x4
S1 0.000 0.052 0.627 x8
S2 0.000 0.285 0.602 x8
S3 0.000 0.288 0.250 x4

As for the energy relative to the lowest polymorph listed for this composition: 1.37 eV per formula unit.


# 3
Crystalline Na2BePF at its relaxed geometry, computed with GGA-PBE.

Lattice parameters (Å, degrees): 5.564 5.564 3.151 90.00 90.00 90.00
Space group P4/mmm (No. 123)
Inequivalent atoms, fractional coordinates:
Na1 0.000 0.500 0.000 x2
Be1 0.000 0.000 0.000 x1
P1 0.500 0.500 0.500 x1
F1 0.000 0.000 0.500 x1


no.,E_form (uncorrected) (eV/atom),final energy (hartree per atom)
1,-1.18,-0.1568
2,-1.66,-0.2299
3,-0.29,-0.1111